No. 1
{
  "formula": "AgPdN2O",
  "functional": "PBE",
  "state": "relaxed",
  "cell": [[3.857, 0.000, 0.000], [0.000, 3.857, 0.000], [0.000, 0.000, 4.342]],
  "species": ["Ag", "Pd", "N", "N", "O"],
  "frac_coords": [[0.000, 0.000, 0.000], [0.500, 0.500, 0.500], [0.000, 0.500, 0.500], [0.500, 0.000, 0.500], [0.500, 0.500, 0.000]],
  "density_g_cm3": 6.6,
  "dft_energy_ev_per_cell": -22.06,
  "raw_formation_energy_ev_per_atom": 1.518,
  "spacegroup": "P4/mmm"
}



No. 2
{
  "formula": "Cd3FeSn",
  "functional": "PBE",
  "state": "relaxed",
  "cell": [[5.050, 0.000, 0.000], [0.000, 5.050, 0.000], [0.000, 0.000, 5.050]],
  "species": ["Cd", "Cd", "Cd", "Fe", "Sn"],
  "frac_coords": [[0.000, 0.000, 0.500], [0.000, 0.500, 0.000], [0.500, 0.000, 0.000], [0.000, 0.000, 0.000], [0.500, 0.500, 0.500]],
  "density_g_cm3": 6.6,
  "dft_energy_ev_per_cell": -12.62,
  "de_polymorph_ev_per_atom": 0.000,
  "e_form_kj_per_mol_atoms": 50.0,
  "spacegroup": "Pm-3m"
}



No. 3
{
  "formula": "Tb6PbSe4",
  "functional": "PBE",
  "state": "relaxed",
  "cell": [[2.091, -6.667, 0.000], [2.091, 6.667, 0.000], [0.000, 0.000, 20.800]],
  "species": ["Tb", "Tb", "Tb", "Tb", "Tb", "Tb", "Tb", "Tb", "Tb", "Tb", "Tb", "Tb", "Pb", "Pb", "Se", "Se", "Se", "Se", "Se", "Se", "Se", "Se"],
  "frac_coords": [[0.000, 0.000, 0.000], [0.000, 0.000, 0.500], [0.160, 0.840, 0.750], [0.270, 0.730, 0.088], [0.270, 0.730, 0.412], [0.454, 0.546, 0.663], [0.454, 0.546, 0.837], [0.546, 0.454, 0.163], [0.546, 0.454, 0.337], [0.730, 0.270, 0.588], [0.730, 0.270, 0.912], [0.840, 0.160, 0.250], [0.167, 0.833, 0.250], [0.833, 0.167, 0.750], [0.091, 0.909, 0.623], [0.091, 0.909, 0.877], [0.361, 0.639, 0.539], [0.361, 0.639, 0.961], [0.639, 0.361, 0.039], [0.639, 0.361, 0.461], [0.909, 0.091, 0.123], [0.909, 0.091, 0.377]],
  "density_g_cm3": 8.5,
  "dft_energy_ev_per_cell": -121.79,
  "raw_formation_energy_ev_per_atom": -1.406,
  "spacegroup": "Cmcm"
}



No. 4
{
  "formula": "ThTiNb4",
  "functional": "PBE",
  "state": "relaxed",
  "cell": [[0.000, 3.968, 3.968], [3.968, 0.000, 3.968], [3.968, 3.968, 0.000]],
  "species": ["Th", "Ti", "Nb", "Nb", "Nb", "Nb"],
  "frac_coords": [[0.000, 0.000, 0.000], [0.750, 0.750, 0.750], [0.375, 0.375, 0.375], [0.375, 0.375, 0.874], [0.375, 0.874, 0.375], [0.874, 0.375, 0.375]],
  "density_g_cm3": 8.7,
  "dft_energy_ev_per_cell": -54.69,
  "e_form_kj_per_mol_atoms": 14.5,
  "spacegroup": "F-43m"
}